# 1
The following is a DFT calculation (PBE-GGA) of crystalline RbTl2AsN at its relaxed geometry.

Summary:
density of states at the Fermi level = 4.432 states/eV/f.u.
total energy = -3.153 eV/atom
space group = P4/mmm, No. 123
ρ = 6.18 g/cm³
E_form (uncorrected) = 582 meV per atom

abc: 6.366 3.865 6.366
angles: 90.00 90.00 90.00
Fractional coordinates of all 5 atoms:
Tl1 0.000 0.000 0.500
Tl2 0.500 0.000 0.000
As1 0.000 0.000 0.000
Rb1 0.500 0.500 0.500
N1 0.000 0.500 0.000



# 2
The following is a DFT calculation (PBE-GGA) of crystalline Tb3Nd8Tm4 at its relaxed geometry.

Summary:
density of states at the Fermi level = 22.582 states/eV/f.u.
ΔH_f (0 K) = 0.3392 eV per atom
total energy = -4.322 eV/atom
space group = C2/m, No. 12
ρ = 7.52 g/cm³

abc: 6.858 9.368 9.368
angles: 81.43 113.10 113.10
Fractional coordinates of all 15 atoms:
Tb1 0.500 0.500 0.000
Tb2 0.500 0.000 0.500
Tb3 0.500 0.500 0.500
Nd1 0.762 0.296 0.296
Nd2 0.000 0.706 0.294
Nd3 0.190 0.243 0.243
Nd4 0.500 0.754 0.246
Nd5 0.500 0.246 0.754
Nd6 0.810 0.757 0.757
Nd7 0.000 0.294 0.706
Nd8 0.238 0.704 0.704
Tm1 0.500 0.000 0.000
Tm2 0.000 0.500 0.000
Tm3 0.000 0.000 0.000
Tm4 0.000 0.000 0.500



# 3
The following is a DFT calculation (PBE-GGA) of crystalline Be2MoPb at its relaxed geometry.

Summary:
density of states at the Fermi level = 0.499 states/eV/f.u.
ΔH_f (0 K) = 0.3796 eV per atom
total energy = -5.118 eV/atom
space group = Imm2, No. 44
ρ = 9.18 g/cm³

abc: 5.124 5.124 5.124
angles: 138.92 138.38 59.91
Fractional coordinates of all 4 atoms:
Pb1 0.261 0.761 0.500
Be1 0.017 0.017 0.000
Be2 0.712 0.212 0.500
Mo1 0.509 0.509 0.000



# 4
The following is a DFT calculation (PBE-GGA) of crystalline KLaZr2 at its relaxed geometry.

Summary:
relative energy among the computed polymorphs = 0.213 eV/atom
density of states at the Fermi level = 5.154 states/eV/f.u.
ΔH_f (0 K) = 0.5364 eV per atom
total energy = -5.244 eV/atom
space group = R-3m, No. 166
ρ = 4.91 g/cm³

abc: 12.425 12.425 12.425
angles: 15.67 15.67 15.67
Fractional coordinates of all 4 atoms:
K1 0.250 0.250 0.250
La1 0.750 0.750 0.750
Zr1 0.010 0.010 0.010
Zr2 0.490 0.490 0.490